(1)
The following is a DFT calculation (PBE) of a relaxed structure of Mn5Cl4.

crystal system	tetragonal
formation energy from raw total energies	11	meV/atom

The structure in CIF format:
```
data_Mn5Cl4
_chemical_formula_sum 'Mn10 Cl8'
_symmetry_space_group_name_H-M 'I 4/m m m'
_symmetry_Int_Tables_number 139
_symmetry_space_group_name_Hall '-I 4 2'
_cell_length_a 10.280
_cell_length_b 10.280
_cell_length_c 3.136
_cell_angle_alpha 90.00
_cell_angle_beta 90.00
_cell_angle_gamma 90.00
loop_
_atom_site_label
_atom_site_type_symbol
_atom_site_fract_x
_atom_site_fract_y
_atom_site_fract_z
_atom_site_occupancy
Mn1 Mn 0.000 0.000 0.000 1
Mn2 Mn 0.167 0.167 0.500 1
Cl1 Cl 0.000 0.269 0.000 1
```



(2)
The following is a DFT calculation (PBE) of a relaxed structure of Pm2AlZn.

crystal system	cubic
formation energy	-32.7	kJ/mol of atoms

The structure in CIF format:
```
data_Pm2AlZn
_chemical_formula_sum 'Pm8 Al4 Zn4'
_symmetry_space_group_name_H-M 'F m -3 m'
_symmetry_Int_Tables_number 225
_symmetry_space_group_name_Hall '-F 4 2 3'
_cell_length_a 7.382
_cell_length_b 7.382
_cell_length_c 7.382
_cell_angle_alpha 90.00
_cell_angle_beta 90.00
_cell_angle_gamma 90.00
loop_
_atom_site_label
_atom_site_type_symbol
_atom_site_fract_x
_atom_site_fract_y
_atom_site_fract_z
_atom_site_occupancy
Pm1 Pm 0.250 0.250 0.250 1
Al1 Al 0.000 0.000 0.000 1
Zn1 Zn 0.000 0.000 0.500 1
```



(3)
The following is a DFT calculation (PBE) of a relaxed structure of RbFeCu.

crystal system	orthorhombic
polymorph energy (0 for the lowest one)	131	meV per atom
formation energy	59.0	kJ/mol of atoms

The structure in CIF format:
```
data_RbFeCu
_chemical_formula_sum 'Rb4 Fe4 Cu4'
_symmetry_space_group_name_H-M 'A m a 2'
_symmetry_Int_Tables_number 40
_cell_length_a 4.964
_cell_length_b 12.391
_cell_length_c 4.481
_cell_angle_alpha 90.00
_cell_angle_beta 90.00
_cell_angle_gamma 90.00
loop_
_symmetry_equiv_pos_as_xyz
'x,y,z'
'-x,-y,z'
'-x+1/2,y,z'
'x+1/2,-y,z'
'x,y+1/2,z+1/2'
'-x,-y+1/2,z+1/2'
'-x+1/2,y+1/2,z+1/2'
'x+1/2,-y+1/2,z+1/2'
loop_
_atom_site_label
_atom_site_type_symbol
_atom_site_fract_x
_atom_site_fract_y
_atom_site_fract_z
_atom_site_occupancy
Rb1 Rb 0.250 0.250 0.000 1
Fe1 Fe 0.250 0.000 0.243 1
Cu1 Cu 0.000 0.000 0.743 1
```



(4)
The following is a DFT calculation (PBE) of a relaxed structure of Cr2PtCl.

crystal system	tetragonal
polymorph energy (0 for the lowest one)	112	meV per atom
formation energy from raw total energies	106	meV/atom

The structure in CIF format:
```
data_Cr2PtCl
_chemical_formula_sum 'Cr2 Pt1 Cl1'
_symmetry_space_group_name_H-M 'P 4 m m'
_symmetry_Int_Tables_number 99
_cell_length_a 4.723
_cell_length_b 4.723
_cell_length_c 2.951
_cell_angle_alpha 90.00
_cell_angle_beta 90.00
_cell_angle_gamma 90.00
loop_
_symmetry_equiv_pos_as_xyz
'x,y,z'
'-y,x,z'
'-x,-y,z'
'y,-x,z'
'-x,y,z'
'y,x,z'
'x,-y,z'
'-y,-x,z'
loop_
_atom_site_label
_atom_site_type_symbol
_atom_site_fract_x
_atom_site_fract_y
_atom_site_fract_z
_atom_site_occupancy
Cr1 Cr 0.000 0.500 0.000 1
Pt1 Pt 0.000 0.000 0.499 1
Cl1 Cl 0.500 0.500 0.988 1
```



(5)
The following is a DFT calculation (PBE) of a relaxed structure of Ba3SiS5.

crystal system	orthorhombic
polymorph energy (0 for the lowest one)	0	meV per atom
formation energy from raw total energies	-1728	meV/atom

The structure in CIF format:
```
data_Ba3SiS5
_chemical_formula_sum 'Ba12 Si4 S20'
_symmetry_space_group_name_H-M 'P n m a'
_symmetry_Int_Tables_number 62
_cell_length_a 12.119
_cell_length_b 9.557
_cell_length_c 8.695
_cell_angle_alpha 90.00
_cell_angle_beta 90.00
_cell_angle_gamma 90.00
loop_
_symmetry_equiv_pos_as_xyz
'x,y,z'
'-x,-y,-z'
'-x+1/2,-y,z+1/2'
'x+1/2,y,-z+1/2'
'x+1/2,-y+1/2,-z+1/2'
'-x+1/2,y+1/2,z+1/2'
'-x,y+1/2,-z'
'x,-y+1/2,z'
loop_
_atom_site_label
_atom_site_type_symbol
_atom_site_fract_x
_atom_site_fract_y
_atom_site_fract_z
_atom_site_occupancy
Ba1 Ba 0.020 0.250 0.115 1
Ba2 Ba 0.183 0.020 0.576 1
Si1 Si 0.097 0.750 0.305 1
S1 S 0.005 0.750 0.513 1
S2 S 0.055 0.566 0.183 1
S3 S 0.229 0.250 0.849 1
S4 S 0.234 0.750 0.817 1
```



(6)
The following is a DFT calculation (PBE) of a relaxed structure of NdSmCo4.

crystal system	cubic
polymorph energy (0 for the lowest one)	34	meV per atom
formation energy	-5.7	kJ/mol of atoms

The structure in CIF format:
```
data_NdSmCo4
_chemical_formula_sum 'Nd4 Sm4 Co16'
_symmetry_space_group_name_H-M 'F -4 3 m'
_symmetry_Int_Tables_number 216
_symmetry_space_group_name_Hall 'F -4 2 3'
_cell_length_a 7.296
_cell_length_b 7.296
_cell_length_c 7.296
_cell_angle_alpha 90.00
_cell_angle_beta 90.00
_cell_angle_gamma 90.00
loop_
_atom_site_label
_atom_site_type_symbol
_atom_site_fract_x
_atom_site_fract_y
_atom_site_fract_z
_atom_site_occupancy
Nd1 Nd 0.000 0.000 0.000 1
Sm1 Sm 0.250 0.250 0.750 1
Co1 Co 0.125 0.125 0.375 1
```



| no. | spin magnetization (μB per formula unit) |
| --- | --- |
| 1 | 19.45 |
| 2 | 0.00 |
| 3 | 2.65 |
| 4 | 7.30 |
| 5 | 0.00 |
| 6 | 3.82 |